The following is a PBE calculation of a geometry-optimized MgInSeN2 structure, from Alexandria.

Excess energy over the best structure of this formula in the dataset   0.022 eV/atom
Total magnetic moment   0.5949 μB per atom

abc: 4.231 4.231 5.904
angles: 90.00 90.00 90.00
Sites, in units of the cell vectors:
Mg 0.500 0.500 0.500
N 0.000 0.500 0.000
N 0.500 0.000 0.000
Se 0.000 0.000 0.500
In 0.000 0.000 0.000